Record 1
Density functional theory data (PBE-GGA) for ScAlAg2S4 after structural relaxation.

Computed properties:
The final energy is -78.44 eV for the cell shown.

Unit cell a=7.4975 b=7.4975 c=7.4975 alpha=121.86 beta=118.28 gamma=89.91
Last column: nearest neighbours and their distance in Å.
Positions (direct):
Sc (0.0000, 0.0000, 0.0000)  6 S 2.60-2.61
Sc (0.5000, 0.0000, 0.5000)  6 S 2.60-2.61
Al (0.5000, 0.0000, 0.0000)  6 S 2.47-2.52
Al (0.5000, 0.5000, 0.5000)  6 S 2.47-2.52
Ag (0.0000, 0.0000, 0.5000)  6 S 2.79-2.84
Ag (0.0000, 0.5000, 0.0000)  6 S 2.79-2.84
Ag (0.0000, 0.5000, 0.5000)  6 S 2.71-2.72
Ag (0.5000, 0.5000, 0.0000)  6 S 2.71-2.72
S (0.2630, 0.2522, 0.4893)  1 Al 2.52, 2 Sc 2.60, 3 Ag 2.71-2.79
S (0.2630, 0.7737, 0.0107)  1 Al 2.52, 2 Sc 2.60, 3 Ag 2.71-2.79
S (0.2786, 0.2450, 0.0336)  2 Al 2.47, 1 Sc 2.61, 1 Ag 2.72
S (0.2885, 0.7550, 0.5336)  2 Al 2.47, 1 Sc 2.61, 1 Ag 2.72
S (0.7115, 0.2450, 0.4664)  2 Al 2.47, 1 Sc 2.61, 1 Ag 2.72
S (0.7214, 0.7550, 0.9664)  2 Al 2.47, 1 Sc 2.61, 1 Ag 2.72
S (0.7370, 0.2263, 0.9893)  1 Al 2.52, 2 Sc 2.60, 3 Ag 2.71-2.79
S (0.7370, 0.7478, 0.5107)  1 Al 2.52, 2 Sc 2.60, 3 Ag 2.71-2.79

Record 2
Density functional theory data (PBE-GGA) for Ti2AgHgH after structural relaxation.

Computed properties:
The final energy is -22.15 eV for the cell shown. For the excess energy over the best structure of this formula in the dataset, the calculation gives 97 meV per atom.

Unit cell a=4.0167 b=4.0167 c=4.5694 alpha=90.00 beta=90.00 gamma=90.00
Last column: nearest neighbours and their distance in Å.
Positions (direct):
Ti (0.0000, 0.5000, 0.0000)  2 H 2.01
Ti (0.5000, 0.0000, 0.0000)  2 H 2.01
Ag (0.0000, 0.0000, 0.5000)  4 Hg 2.84, 8 Ti 3.04
Hg (0.5000, 0.5000, 0.5000)  2 H 2.28
H (0.5000, 0.5000, 0.0000)  4 Ti 2.01

Record 3
Density functional theory data (PBE-GGA) for Pm3Sm2Tm2 after structural relaxation.

Computed properties:
The final energy is -32.51 eV for the cell shown. The value obtained for the formation energy from the elements is 0.1 eV/f.u. For the excess energy over the best structure of this formula in the dataset, the calculation gives 2 meV per atom.

Unit cell a=6.2208 b=6.2208 c=8.0571 alpha=97.40 beta=97.40 gamma=48.25
Last column: nearest neighbours and their distance in Å.
Positions (direct):
Pm (0.0000, 0.0000, 0.0000)  6 Tm 3.58-3.60, 4 Sm 3.58, 2 Pm 3.61
Pm (0.1432, 0.1432, 0.4292)  4 Pm 3.59-3.61, 5 Sm 3.60-3.61, 3 Tm 3.61
Pm (0.8568, 0.8568, 0.5708)  4 Pm 3.59-3.61, 5 Sm 3.60-3.61, 3 Tm 3.61
Sm (0.4286, 0.4286, 0.2825)  4 Tm 3.57-3.59, 7 Pm 3.58-3.61, 1 Sm 3.65
Sm (0.5714, 0.5714, 0.7175)  4 Tm 3.57-3.59, 7 Pm 3.58-3.61, 1 Sm 3.65
Tm (0.2851, 0.2851, 0.8590)  4 Sm 3.57-3.59, 2 Tm 3.57, 6 Pm 3.58-3.61
Tm (0.7149, 0.7149, 0.1410)  4 Sm 3.57-3.59, 2 Tm 3.57, 6 Pm 3.58-3.61

Record 4
Density functional theory data (PBE-GGA) for La4CuRu2 after structural relaxation.

Computed properties:
The final energy is -87.81 eV for the cell shown. The value obtained for the formation energy from the elements is -1.5 eV/f.u.

Unit cell a=7.4870 b=7.4870 c=7.8568 alpha=107.19 beta=107.19 gamma=70.17
Last column: nearest neighbours and their distance in Å.
Positions (direct):
La (0.0000, 0.0000, 0.0000)  3 Ru 2.94-2.97, 2 Cu 3.11-3.12
La (0.0037, 0.0037, 0.4812)  3 Ru 2.90-3.20, 1 Cu 3.01
La (0.0110, 0.4663, 0.8654)  3 Ru 2.77-3.04, 1 Cu 3.07
La (0.4606, 0.9864, 0.3605)  3 Ru 2.89-3.11, 2 Cu 3.05-3.16
La (0.4663, 0.0110, 0.8654)  3 Ru 2.77-3.04, 1 Cu 3.07
La (0.4860, 0.4860, 0.4682)  3 Ru 2.84-3.10
La (0.5008, 0.5008, 0.0039)  3 Ru 2.92-3.13
La (0.9864, 0.4606, 0.3605)  3 Ru 2.89-3.11, 2 Cu 3.05-3.16
Cu (0.7825, 0.7825, 0.6399)  7 La 3.05-3.39
Cu (0.7903, 0.7903, 0.1354)  2 Ru 2.83, 6 La 3.01-3.16
Ru (0.2015, 0.7011, 0.2171)  1 Cu 2.83, 6 La 2.84-3.11, 1 Ru 3.07
Ru (0.2593, 0.2593, 0.1236)  5 La 2.77-2.97, 2 Ru 3.07
Ru (0.2836, 0.2836, 0.6391)  5 La 2.83-3.13
Ru (0.7011, 0.2015, 0.2171)  1 Cu 2.83, 6 La 2.84-3.11, 1 Ru 3.07

Record 5
Density functional theory data (PBE-GGA) for NdInAgHg after structural relaxation.

Computed properties:
The final energy is -12.17 eV for the cell shown. The value obtained for the formation energy from the elements is -1.5 eV/f.u.

Unit cell a=5.1486 b=5.1486 c=5.1486 alpha=60.00 beta=60.00 gamma=60.00
Last column: nearest neighbours and their distance in Å.
Positions (direct):
Nd (0.0000, 0.0000, 0.0000)  4 Hg 3.15, 4 Ag 3.15
In (0.5000, 0.5000, 0.5000)  4 Hg 3.15, 4 Ag 3.15
Ag (0.2500, 0.2500, 0.2500)  4 In 3.15, 4 Nd 3.15
Hg (0.7500, 0.7500, 0.7500)  4 In 3.15, 4 Nd 3.15

Record 6
Density functional theory data (PBE-GGA) for ReSbBr2 after structural relaxation.

Computed properties:
The final energy is -14.60 eV for the cell shown. For the excess energy over the best structure of this formula in the dataset, the calculation gives 1089 meV per atom.

Unit cell a=4.8517 b=4.8517 c=3.5229 alpha=90.00 beta=90.00 gamma=90.00
Last column: nearest neighbours and their distance in Å.
Positions (direct):
Re (0.0000, 0.0000, 0.0000)  8 Br 3.00
Sb (0.5000, 0.5000, 0.0000)  8 Br 3.00
Br (0.0000, 0.5000, 0.5000)  4 Re 3.00, 4 Sb 3.00
Br (0.5000, 0.0000, 0.5000)  4 Re 3.00, 4 Sb 3.00

Record 7
Density functional theory data (PBE-GGA) for Zr2TaAgHg after structural relaxation.

Computed properties:
The final energy is -26.09 eV for the cell shown. The value obtained for the formation energy from the elements is 6.0 eV/f.u.

Unit cell a=5.1206 b=5.1206 c=4.9361 alpha=90.00 beta=90.00 gamma=90.00
Last column: nearest neighbours and their distance in Å.
Positions (direct):
Zr (0.0000, 0.5000, 0.0000)  2 Ag 2.56
Zr (0.5000, 0.0000, 0.0000)  2 Ag 2.56
Ta (0.0000, 0.0000, 0.5000)  2 Ag 2.47
Ag (0.0000, 0.0000, 0.0000)  2 Ta 2.47, 4 Zr 2.56
Hg (0.5000, 0.5000, 0.5000)  8 Zr 3.56, 4 Ta 3.62

Record 8
Density functional theory data (PBE-GGA) for LiVSb3 after structural relaxation.

Computed properties:
The final energy is -20.34 eV for the cell shown. For the excess energy over the best structure of this formula in the dataset, the calculation gives 444 meV per atom.

Unit cell a=4.9588 b=4.9588 c=4.9588 alpha=90.00 beta=90.00 gamma=90.00
Last column: nearest neighbours and their distance in Å.
Positions (direct):
Li (0.0000, 0.0000, 0.0000)  6 Sb 2.48
V (0.5000, 0.5000, 0.5000)  12 Sb 3.51
Sb (0.0000, 0.0000, 0.5000)  2 Li 2.48
Sb (0.0000, 0.5000, 0.0000)  2 Li 2.48
Sb (0.5000, 0.0000, 0.0000)  2 Li 2.48

Record 9
Density functional theory data (PBE-GGA) for CeMg2Sc4 after structural relaxation.

Computed properties:
The final energy is -34.15 eV for the cell shown. The value obtained for the formation energy from the elements is 0.3 eV/f.u. For the excess energy over the best structure of this formula in the dataset, the calculation gives 0 meV per atom.

Unit cell a=11.2503 b=11.2503 c=3.1866 alpha=90.00 beta=90.00 gamma=154.70
Last column: nearest neighbours and their distance in Å.
Positions (direct):
Ce (0.0000, 0.0000, 0.0000)  2 Ce 3.19, 10 Sc 3.27-3.35
Mg (0.2864, 0.7136, 0.5000)  4 Mg 2.94-3.19, 5 Sc 3.08-3.26
Mg (0.7136, 0.2864, 0.5000)  4 Mg 2.94-3.19, 5 Sc 3.08-3.26
Sc (0.1490, 0.8510, 0.0000)  6 Sc 3.19-3.37, 6 Mg 3.26-3.41, 1 Ce 3.27
Sc (0.4267, 0.5733, 0.5000)  1 Mg 3.08, 7 Sc 3.19-3.37, 4 Ce 3.35
Sc (0.5733, 0.4267, 0.5000)  1 Mg 3.08, 7 Sc 3.19-3.37, 4 Ce 3.35
Sc (0.8510, 0.1490, 0.0000)  6 Sc 3.19-3.37, 6 Mg 3.26-3.41, 1 Ce 3.27

Record 10
Density functional theory data (PBE-GGA) for NdTm2ThSe4 after structural relaxation.

Computed properties:
The final energy is -48.45 eV for the cell shown.

Unit cell a=7.0202 b=4.0301 c=7.3582 alpha=90.00 beta=108.41 gamma=90.00
Last column: nearest neighbours and their distance in Å.
Positions (direct):
Nd (0.0000, 0.0000, 0.0000)  6 Se 3.00
Tm (0.0000, 0.5000, 0.5000)  6 Se 2.83
Tm (0.5000, 0.0000, 0.5000)  6 Se 2.83
Th (0.5000, 0.5000, 0.0000)  6 Se 3.00
Se (0.2432, 0.0000, 0.7294)  3 Tm 2.83, 2 Th 3.00, 1 Nd 3.00
Se (0.2573, 0.5000, 0.2707)  3 Tm 2.83, 1 Th 3.00, 2 Nd 3.00
Se (0.7427, 0.5000, 0.7293)  3 Tm 2.83, 1 Th 3.00, 2 Nd 3.00
Se (0.7568, 0.0000, 0.2706)  3 Tm 2.83, 2 Th 3.00, 1 Nd 3.00